The following is a PBE-GGA calculation of crystalline ScInTe3 at its relaxed geometry, from Alexandria via LeMat-Bulk.

Crystal system: cubic
N(E_F), states/eV/cell: 6.8
Size of the total moment, μB/f.u.: 0.0
E_form (uncorrected), eV per atom: -0.38

a = 5.6122 Å, b = 5.6122 Å, c = 5.6122 Å
α = 90.00°, β = 90.00°, γ = 90.00°
Closest atoms and distances in Å follow each position.
Sites, in units of the cell vectors:
Te 0.5000 0.0000 0.0000  2 Sc 2.81
Te 0.0000 0.5000 0.0000  2 Sc 2.81
Te 0.0000 0.0000 0.5000  2 Sc 2.81
Sc 0.0000 0.0000 0.0000  6 Te 2.81
In 0.5000 0.5000 0.5000  12 Te 3.97